A plane-wave DFT calculation with PBE was carried out for TmScIn3 after structural relaxation.

Results
Energy = -35.67 eV for the cell shown
Calculated formation energy = 236.5 meV per atom

Lattice parameters (Å, degrees): 5.692 5.692 11.553 104.26 104.26 90.00
Positions (direct):
Tm: 0.000 0.000 0.000
In: 0.280 0.280 0.560
Tm: 0.250 0.750 0.500
In: 0.126 0.877 0.753
In: 0.627 0.877 0.753
Sc: 0.826 0.326 0.653
In: 0.720 0.720 0.440
In: 0.123 0.874 0.247
In: 0.123 0.373 0.247
Sc: 0.674 0.174 0.347